Entry 1:
Below is crystalline PrDy3Te2 at its relaxed geometry, with properties calculated at the PBE level.

a b c (Å): 8.569 8.569 11.416
angles (deg): 108.80 108.80 28.07
Sites, in units of the cell vectors:
Pr 0.119 0.119 0.042
Pr 0.881 0.881 0.958
Dy 0.061 0.061 0.405
Dy 0.283 0.283 0.622
Dy 0.378 0.378 0.332
Dy 0.622 0.622 0.668
Dy 0.717 0.717 0.378
Dy 0.939 0.939 0.595
Te 0.229 0.229 0.855
Te 0.482 0.482 0.826
Te 0.518 0.518 0.174
Te 0.771 0.771 0.145

The calculation puts the total energy at -60.04 eV for the cell shown. Its space group is No. 12.

---

Entry 2:
Below is crystalline Pr4DyTe5 at its relaxed geometry, with properties calculated at the PBE level.

a b c (Å): 16.392 16.392 16.392
angles (deg): 164.31 164.31 22.26
Sites, in units of the cell vectors:
Pr 0.104 0.104 0.000
Pr 0.308 0.308 0.000
Pr 0.692 0.692 0.000
Pr 0.896 0.896 0.000
Dy 0.500 0.500 0.000
Te 0.000 0.000 0.000
Te 0.205 0.205 0.000
Te 0.406 0.406 0.000
Te 0.594 0.594 0.000
Te 0.795 0.795 0.000

The calculation puts the total energy at -53.49 eV for the cell shown. Its space group is No. 139.

---

Entry 3:
Below is crystalline PrDy5Te4 at its relaxed geometry, with properties calculated at the PBE level.

a b c (Å): 9.437 9.437 8.573
angles (deg): 102.98 102.98 25.85
Sites, in units of the cell vectors:
Pr 0.000 0.000 0.000
Dy 0.000 0.000 0.500
Dy 0.309 0.309 0.646
Dy 0.341 0.341 0.210
Dy 0.659 0.659 0.790
Dy 0.691 0.691 0.354
Te 0.173 0.173 0.069
Te 0.484 0.484 0.732
Te 0.516 0.516 0.268
Te 0.827 0.827 0.931

The calculation puts the total energy at -49.41 eV for the cell shown. Its space group is No. 12.